VASP calculation (PBE) on a geometry-optimized CaAc2Cd2Sn2 structure.

Cell and atoms, written as POSCAR:
```
CaAc2Cd2Sn2
1.0
2.465 1.423 10.980
-2.465 1.423 10.980
0.000 -2.847 10.980
Ca Ac Cd Sn
1 2 2 2
Direct
0.000 0.000 0.000
0.122 0.122 0.122
0.878 0.878 0.878
0.382 0.382 0.382
0.618 0.618 0.618
0.272 0.272 0.272
0.728 0.728 0.728
```

## Properties
The value obtained for the formation energy is -213 kJ/mol of formula units.